## BeAl2Os (PBE)

Data for a geometry-optimized BeAl2Os structure.

The structure in POSCAR format:
```
BeAl2Os
1.0
2.7708 -0.0351 0.0000
-1.2653 2.4652 0.0000
0.0000 0.0000 8.2032
Be Os Al
1 1 2
direct
0.5000 0.5000 0.2500
0.5000 0.5000 0.7500
0.0000 0.0000 0.0058
0.0000 0.0000 0.4942
```

Summary:
total energy = -5.44 eV/atom
formation enthalpy at 0 K = 0.17 eV/atom

=====

## Y5In2Bi2 (PBE)

Data for a geometry-optimized Y5In2Bi2 structure.

The structure in POSCAR format:
```
Y5In2Bi2
1.0
8.2145 0.0000 0.0000
0.0000 7.3066 -3.7561
0.0000 -0.0323 8.9219
Y In Bi
10 4 4
direct
0.0000 0.0000 0.0000
0.5000 0.5000 0.0000
0.8324 0.8028 0.2668
0.1676 0.4639 0.2668
0.3324 0.9639 0.2668
0.6676 0.3028 0.2668
0.1676 0.1972 0.7332
0.8324 0.5361 0.7332
0.6676 0.0361 0.7332
0.3324 0.6972 0.7332
0.6288 0.8704 0.0000
0.3712 0.1296 0.0000
0.1288 0.6296 0.0000
0.8712 0.3704 0.0000
0.0000 0.2056 0.4113
0.5000 0.7056 0.4113
0.0000 0.7944 0.5887
0.5000 0.2944 0.5887
```

Summary:
total energy = -5.74 eV/atom
formation enthalpy at 0 K = -0.68 eV/atom

=====

## LiCa3Cd (PBE)

Data for a geometry-optimized LiCa3Cd structure.

The structure in POSCAR format:
```
LiCa3Cd
1.0
5.3421 0.0000 1.2208
0.0000 5.4861 0.0000
0.3251 0.0000 10.8762
Li Ca Cd
2 6 2
direct
0.4821 0.7500 0.6842
0.1663 0.2500 0.3158
0.7567 0.2500 0.1350
0.3916 0.2500 0.8651
0.5744 0.2500 0.4995
0.2567 0.7500 0.1349
0.8917 0.7500 0.8650
0.0739 0.7500 0.5005
0.6664 0.7500 0.3155
0.9819 0.2500 0.6845
```

Summary:
total energy = -1.92 eV/atom
formation enthalpy at 0 K = -0.15 eV/atom